! BaScBeBr2 | the Alexandria database | GGA-PBE | relaxed; values from VASP
! * total energy: -16.013 eV/cell
! * formation energy (no corrections): -3.17 kcal/mol of atoms
&SYSTEM
  ibrav = 0, nat = 5, ntyp = 4
/
ATOMIC_SPECIES
Br 79.90 Br.upf
Ba 137.33 Ba.upf
Be 9.01 Be.upf
Sc 44.96 Sc.upf
ATOMIC_POSITIONS crystal
Br 0.500 0.000 0.000
Br 0.000 0.500 0.000
Ba 0.000 0.000 0.500
Be 0.500 0.500 0.500
Sc 0.000 0.000 0.000
CELL_PARAMETERS angstrom
5.192 0.000 0.000
0.000 5.192 0.000
0.000 0.000 7.841